# AgPb3F

Crystalline AgPb3F at its relaxed geometry (PBE, Alexandria via LeMat-Bulk).

Energy above the most stable polymorph in this dataset = 2.15 eV per formula unit

The structure in CIF format:
```
data_AgPb3F
_chemical_formula_sum 'Ag1 Pb3 F1'
_cell_length_a 5.517
_cell_length_b 5.517
_cell_length_c 5.517
_cell_angle_alpha 90.00
_cell_angle_beta 90.00
_cell_angle_gamma 90.00
_symmetry_space_group_name_H-M 'P m -3 m'
_symmetry_Int_Tables_number 221
_symmetry_space_group_name_Hall '-P 4 2 3'
loop_
_atom_site_label
_atom_site_type_symbol
_atom_site_fract_x
_atom_site_fract_y
_atom_site_fract_z
Ag1 Ag 0.000 0.000 0.000
Pb1 Pb 0.000 0.000 0.500
F1 F 0.500 0.500 0.500
```

# Ag2Pb2F7

Crystalline Ag2Pb2F7 at its relaxed geometry (PBE, Alexandria via LeMat-Bulk).

Energy above the most stable polymorph in this dataset = 0.00 eV per formula unit

The structure in CIF format:
```
data_Ag2Pb2F7
_chemical_formula_sum 'Ag4 Pb4 F14'
_cell_length_a 7.830
_cell_length_b 8.453
_cell_length_c 5.682
_cell_angle_alpha 90.00
_cell_angle_beta 90.00
_cell_angle_gamma 90.00
_symmetry_space_group_name_H-M 'C m m m'
_symmetry_Int_Tables_number 65
_symmetry_space_group_name_Hall '-C 2 2'
loop_
_atom_site_label
_atom_site_type_symbol
_atom_site_fract_x
_atom_site_fract_y
_atom_site_fract_z
Ag1 Ag 0.000 0.241 0.000
Pb1 Pb 0.250 0.000 0.500
F1 F 0.000 0.000 0.263
F2 F 0.000 0.500 0.000
F3 F 0.250 0.250 0.254
```

# Ag6PbF12

Crystalline Ag6PbF12 at its relaxed geometry (PBE, Alexandria via LeMat-Bulk).

Calculated total energy = -3.60 eV per atom

The structure in CIF format:
```
data_Ag6PbF12
_chemical_formula_sum 'Ag18 Pb3 F36'
_cell_length_a 10.5401
_cell_length_b 10.5401
_cell_length_c 9.7198
_cell_angle_alpha 90.00
_cell_angle_beta 90.00
_cell_angle_gamma 120.00
_symmetry_space_group_name_H-M 'R -3'
_symmetry_Int_Tables_number 148
_symmetry_space_group_name_Hall '-R 3'
loop_
_atom_site_label
_atom_site_type_symbol
_atom_site_fract_x
_atom_site_fract_y
_atom_site_fract_z
Ag1 Ag 0.0388 0.7903 0.1452
Pb1 Pb 0.0000 0.0000 0.5000
F1 F 0.0120 0.7800 0.9009
F2 F 0.0438 0.8584 0.3758
```

# Ag2PbF

Crystalline Ag2PbF at its relaxed geometry (PBE, Alexandria via LeMat-Bulk).

Energy above the most stable polymorph in this dataset = 0.79 eV per formula unit

The structure in CIF format:
```
data_Ag2PbF
_chemical_formula_sum 'Ag8 Pb4 F4'
_cell_length_a 6.806
_cell_length_b 6.806
_cell_length_c 6.806
_cell_angle_alpha 90.00
_cell_angle_beta 90.00
_cell_angle_gamma 90.00
_symmetry_space_group_name_H-M 'F m -3 m'
_symmetry_Int_Tables_number 225
_symmetry_space_group_name_Hall '-F 4 2 3'
loop_
_atom_site_label
_atom_site_type_symbol
_atom_site_fract_x
_atom_site_fract_y
_atom_site_fract_z
Ag1 Ag 0.250 0.250 0.250
Pb1 Pb 0.000 0.000 0.000
F1 F 0.000 0.000 0.500
```

# AgPb2F5

Crystalline AgPb2F5 at its relaxed geometry (PBE, Alexandria via LeMat-Bulk).

Calculated total energy = -4.47 eV per atom

The structure in CIF format:
```
data_AgPb2F5
_chemical_formula_sum 'Ag4 Pb8 F20'
_cell_length_a 9.675
_cell_length_b 8.217
_cell_length_c 7.322
_cell_angle_alpha 90.00
_cell_angle_beta 106.26
_cell_angle_gamma 90.00
_symmetry_space_group_name_H-M 'P 1 21/c 1'
_symmetry_Int_Tables_number 14
_symmetry_space_group_name_Hall '-P 2ybc'
loop_
_atom_site_label
_atom_site_type_symbol
_atom_site_fract_x
_atom_site_fract_y
_atom_site_fract_z
Ag1 Ag 0.145 0.118 0.455
Pb1 Pb 0.137 0.630 0.445
Pb2 Pb 0.488 0.127 0.250
F1 F 0.020 0.606 0.757
F2 F 0.211 0.130 0.127
F3 F 0.223 0.635 0.162
F4 F 0.399 0.623 0.544
F5 F 0.413 0.124 0.550
```

# AgPb3F7

Crystalline AgPb3F7 at its relaxed geometry (PBE, Alexandria via LeMat-Bulk).

Calculated total energy = -4.58 eV per atom

The structure in CIF format:
```
data_AgPb3F7
_chemical_formula_sum 'Ag4 Pb12 F28'
_cell_length_a 8.347
_cell_length_b 11.882
_cell_length_c 8.357
_cell_angle_alpha 90.00
_cell_angle_beta 90.00
_cell_angle_gamma 90.00
_symmetry_space_group_name_H-M 'C m c m'
_symmetry_Int_Tables_number 63
_symmetry_space_group_name_Hall '-C 2c 2'
loop_
_atom_site_label
_atom_site_type_symbol
_atom_site_fract_x
_atom_site_fract_y
_atom_site_fract_z
Ag1 Ag 0.000 0.000 0.000
Pb1 Pb 0.000 0.500 0.000
Pb2 Pb 0.236 0.239 0.250
F1 F 0.000 0.127 0.250
F2 F 0.000 0.371 0.250
F3 F 0.000 0.375 0.750
F4 F 0.242 0.125 0.507
```

# Ag2PbF

Crystalline Ag2PbF at its relaxed geometry (PBE, Alexandria via LeMat-Bulk).

Energy above the most stable polymorph in this dataset = 0.00 eV per formula unit

The structure in CIF format:
```
data_Ag2PbF
_chemical_formula_sum 'Ag8 Pb4 F4'
_cell_length_a 7.764
_cell_length_b 7.764
_cell_length_c 5.365
_cell_angle_alpha 90.00
_cell_angle_beta 90.00
_cell_angle_gamma 90.00
_symmetry_space_group_name_H-M 'I -4 2 d'
_symmetry_Int_Tables_number 122
_symmetry_space_group_name_Hall 'I -4 2bw'
loop_
_atom_site_label
_atom_site_type_symbol
_atom_site_fract_x
_atom_site_fract_y
_atom_site_fract_z
Ag1 Ag 0.203 0.250 0.125
Pb1 Pb 0.000 0.000 0.500
F1 F 0.000 0.000 0.000
```

# Ag3Pb4F12

Crystalline Ag3Pb4F12 at its relaxed geometry (PBE, Alexandria via LeMat-Bulk).

Calculated total energy = -4.29 eV per atom

The structure in CIF format:
```
data_Ag3Pb4F12
_chemical_formula_sum 'Ag6 Pb8 F24'
_cell_length_a 9.140
_cell_length_b 9.140
_cell_length_c 9.140
_cell_angle_alpha 90.00
_cell_angle_beta 90.00
_cell_angle_gamma 90.00
_symmetry_space_group_name_H-M 'I m -3'
_symmetry_Int_Tables_number 204
_symmetry_space_group_name_Hall '-I 2 2 3'
loop_
_atom_site_label
_atom_site_type_symbol
_atom_site_fract_x
_atom_site_fract_y
_atom_site_fract_z
Ag1 Ag 0.000 0.000 0.500
Pb1 Pb 0.250 0.250 0.250
F1 F 0.000 0.180 0.323
```

# Ag2PbF6

Crystalline Ag2PbF6 at its relaxed geometry (PBE, Alexandria via LeMat-Bulk).

Energy above the most stable polymorph in this dataset = 0.04 eV per formula unit

The structure in CIF format:
```
data_Ag2PbF6
_chemical_formula_sum 'Ag4 Pb2 F12'
_cell_length_a 11.571
_cell_length_b 4.213
_cell_length_c 7.812
_cell_angle_alpha 90.00
_cell_angle_beta 121.16
_cell_angle_gamma 90.00
_symmetry_space_group_name_H-M 'C 1 2/m 1'
_symmetry_Int_Tables_number 12
_symmetry_space_group_name_Hall '-C 2y'
loop_
_atom_site_label
_atom_site_type_symbol
_atom_site_fract_x
_atom_site_fract_y
_atom_site_fract_z
Ag1 Ag 0.182 0.000 0.120
Pb1 Pb 0.000 0.000 0.500
F1 F 0.018 0.000 0.821
F2 F 0.143 0.500 0.591
F3 F 0.196 0.500 0.125
```

# Ag3PbF

Crystalline Ag3PbF at its relaxed geometry (PBE, Alexandria via LeMat-Bulk).

Energy above the most stable polymorph in this dataset = 3.03 eV per formula unit

The structure in CIF format:
```
data_Ag3PbF
_chemical_formula_sum 'Ag3 Pb1 F1'
_cell_length_a 5.418
_cell_length_b 5.418
_cell_length_c 5.418
_cell_angle_alpha 90.00
_cell_angle_beta 90.00
_cell_angle_gamma 90.00
_symmetry_space_group_name_H-M 'P m -3 m'
_symmetry_Int_Tables_number 221
_symmetry_space_group_name_Hall '-P 4 2 3'
loop_
_atom_site_label
_atom_site_type_symbol
_atom_site_fract_x
_atom_site_fract_y
_atom_site_fract_z
Ag1 Ag 0.000 0.000 0.500
Pb1 Pb 0.000 0.000 0.000
F1 F 0.500 0.500 0.500
```

# AgPdPbF6

Crystalline AgPdPbF6 at its relaxed geometry (PBE, Alexandria via LeMat-Bulk).

Calculated total energy = -4.11 eV per atom

The structure in CIF format:
```
data_AgPdPbF6
_chemical_formula_sum 'Ag2 Pd2 Pb2 F12'
_cell_length_a 6.0720
_cell_length_b 6.0720
_cell_length_c 9.1737
_cell_angle_alpha 90.00
_cell_angle_beta 90.00
_cell_angle_gamma 120.00
_symmetry_space_group_name_H-M 'P -3 1 c'
_symmetry_Int_Tables_number 163
_symmetry_space_group_name_Hall '-P 3 2c'
loop_
_atom_site_label
_atom_site_type_symbol
_atom_site_fract_x
_atom_site_fract_y
_atom_site_fract_z
Ag1 Ag 0.0000 0.0000 0.0000
Pd1 Pd 0.3333 0.6667 0.2500
Pb1 Pb 0.3333 0.6667 0.7500
F1 F 0.0499 0.3704 0.1264
```

# Ag2PdPbF6

Crystalline Ag2PdPbF6 at its relaxed geometry (PBE, Alexandria via LeMat-Bulk).

Calculated total energy = -4.02 eV per atom

The structure in CIF format:
```
data_Ag2PdPbF6
_chemical_formula_sum 'Ag4 Pd2 Pb2 F12'
_cell_length_a 5.492
_cell_length_b 6.065
_cell_length_c 11.810
_cell_angle_alpha 90.00
_cell_angle_beta 116.88
_cell_angle_gamma 90.00
_symmetry_space_group_name_H-M 'P 1 21/c 1'
_symmetry_Int_Tables_number 14
_symmetry_space_group_name_Hall '-P 2ybc'
loop_
_atom_site_label
_atom_site_type_symbol
_atom_site_fract_x
_atom_site_fract_y
_atom_site_fract_z
Ag1 Ag 0.217 0.040 0.232
Pd1 Pd 0.500 0.000 0.000
Pb1 Pb 0.000 0.000 0.500
F1 F 0.172 0.199 0.908
F2 F 0.242 0.748 0.916
F3 F 0.353 0.101 0.701
```

# PmAgPbF6

Crystalline PmAgPbF6 at its relaxed geometry (PBE, Alexandria via LeMat-Bulk).

Calculated total energy = -5.28 eV per atom

The structure in CIF format:
```
data_PmAgPbF6
_chemical_formula_sum 'Pm2 Ag2 Pb2 F12'
_cell_length_a 6.1561
_cell_length_b 6.1561
_cell_length_c 10.5449
_cell_angle_alpha 90.00
_cell_angle_beta 90.00
_cell_angle_gamma 120.00
_symmetry_space_group_name_H-M 'P -3 1 c'
_symmetry_Int_Tables_number 163
_symmetry_space_group_name_Hall '-P 3 2c'
loop_
_atom_site_label
_atom_site_type_symbol
_atom_site_fract_x
_atom_site_fract_y
_atom_site_fract_z
Pm1 Pm 0.3333 0.6667 0.2500
Ag1 Ag 0.3333 0.6667 0.7500
Pb1 Pb 0.0000 0.0000 0.0000
F1 F 0.0293 0.3484 0.1325
```

# AgPtPbF6

Crystalline AgPtPbF6 at its relaxed geometry (PBE, Alexandria via LeMat-Bulk).

Calculated total energy = -4.13 eV per atom

The structure in CIF format:
```
data_AgPtPbF6
_chemical_formula_sum 'Ag2 Pt2 Pb2 F12'
_cell_length_a 6.1954
_cell_length_b 6.1954
_cell_length_c 9.0468
_cell_angle_alpha 90.00
_cell_angle_beta 90.00
_cell_angle_gamma 120.00
_symmetry_space_group_name_H-M 'P -3 1 c'
_symmetry_Int_Tables_number 163
_symmetry_space_group_name_Hall '-P 3 2c'
loop_
_atom_site_label
_atom_site_type_symbol
_atom_site_fract_x
_atom_site_fract_y
_atom_site_fract_z
Ag1 Ag 0.0000 0.0000 0.0000
Pt1 Pt 0.3333 0.6667 0.2500
Pb1 Pb 0.3333 0.6667 0.7500
F1 F 0.0475 0.3753 0.1275
```

# RbAgPb2F6

Crystalline RbAgPb2F6 at its relaxed geometry (PBE, Alexandria via LeMat-Bulk).

Calculated total energy = -4.33 eV per atom

The structure in CIF format:
```
data_RbAgPb2F6
_chemical_formula_sum 'Rb1 Ag1 Pb2 F6'
_cell_length_a 5.582
_cell_length_b 5.582
_cell_length_c 6.589
_cell_angle_alpha 90.00
_cell_angle_beta 90.00
_cell_angle_gamma 90.00
_symmetry_space_group_name_H-M 'P 4 m m'
_symmetry_Int_Tables_number 99
_symmetry_space_group_name_Hall 'P 4 -2'
loop_
_atom_site_label
_atom_site_type_symbol
_atom_site_fract_x
_atom_site_fract_y
_atom_site_fract_z
Rb1 Rb 0.000 0.000 0.000
Ag1 Ag 0.500 0.500 0.028
Pb1 Pb 0.000 0.500 0.474
F1 F 0.000 0.000 0.601
F2 F 0.259 0.259 0.270
F3 F 0.500 0.500 0.693
```

# Rb3Ag2PbF9

Crystalline Rb3Ag2PbF9 at its relaxed geometry (PBE, Alexandria via LeMat-Bulk).

Calculated total energy = -4.03 eV per atom

The structure in CIF format:
```
data_Rb3Ag2PbF9
_chemical_formula_sum 'Rb3 Ag2 Pb1 F9'
_cell_length_a 6.4229
_cell_length_b 6.4229
_cell_length_c 8.0285
_cell_angle_alpha 90.00
_cell_angle_beta 90.00
_cell_angle_gamma 120.00
_symmetry_space_group_name_H-M 'P -3 m 1'
_symmetry_Int_Tables_number 164
_symmetry_space_group_name_Hall '-P 3 2"'
loop_
_atom_site_label
_atom_site_type_symbol
_atom_site_fract_x
_atom_site_fract_y
_atom_site_fract_z
Rb1 Rb 0.0000 0.0000 0.0000
Rb2 Rb 0.3333 0.6667 0.7087
Ag1 Ag 0.3333 0.6667 0.1648
Pb1 Pb 0.0000 0.0000 0.5000
F1 F 0.0000 0.5000 0.0000
F2 F 0.1649 0.3298 0.3311
```

# Rb2Ag2PbF7

Crystalline Rb2Ag2PbF7 at its relaxed geometry (PBE, Alexandria via LeMat-Bulk).

Calculated total energy = -3.93 eV per atom

The structure in CIF format:
```
data_Rb2Ag2PbF7
_chemical_formula_sum 'Rb4 Ag4 Pb2 F14'
_cell_length_a 6.347
_cell_length_b 6.347
_cell_length_c 11.639
_cell_angle_alpha 90.00
_cell_angle_beta 105.78
_cell_angle_gamma 90.00
_symmetry_space_group_name_H-M 'C 1 2/m 1'
_symmetry_Int_Tables_number 12
_symmetry_space_group_name_Hall '-C 2y'
loop_
_atom_site_label
_atom_site_type_symbol
_atom_site_fract_x
_atom_site_fract_y
_atom_site_fract_z
Rb1 Rb 0.181 0.000 0.362
Ag1 Ag 0.098 0.500 0.196
Pb1 Pb 0.000 0.000 0.000
F1 F 0.000 0.500 0.000
F2 F 0.173 0.249 0.850
F3 F 0.198 0.500 0.396
```

# Rb2AgPbF6

Crystalline Rb2AgPbF6 at its relaxed geometry (PBE, Alexandria via LeMat-Bulk).

Calculated total energy = -4.17 eV per atom

The structure in CIF format:
```
data_Rb2AgPbF6
_chemical_formula_sum 'Rb4 Ag2 Pb2 F12'
_cell_length_a 6.539
_cell_length_b 6.539
_cell_length_c 9.294
_cell_angle_alpha 90.00
_cell_angle_beta 90.00
_cell_angle_gamma 90.00
_symmetry_space_group_name_H-M 'I 4/m m m'
_symmetry_Int_Tables_number 139
_symmetry_space_group_name_Hall '-I 4 2'
loop_
_atom_site_label
_atom_site_type_symbol
_atom_site_fract_x
_atom_site_fract_y
_atom_site_fract_z
Rb1 Rb 0.000 0.500 0.250
Ag1 Ag 0.000 0.000 0.000
Pb1 Pb 0.000 0.000 0.500
F1 F 0.000 0.000 0.251
F2 F 0.249 0.249 0.000
```

# RbAgPbF4

Crystalline RbAgPbF4 at its relaxed geometry (PBE, Alexandria via LeMat-Bulk).

Calculated total energy = -4.17 eV per atom

The structure in CIF format:
```
data_RbAgPbF4
_chemical_formula_sum 'Rb2 Ag2 Pb2 F8'
_cell_length_a 6.509
_cell_length_b 6.028
_cell_length_c 7.617
_cell_angle_alpha 90.00
_cell_angle_beta 103.84
_cell_angle_gamma 90.00
_symmetry_space_group_name_H-M 'P 1 21/m 1'
_symmetry_Int_Tables_number 11
_symmetry_space_group_name_Hall '-P 2yb'
loop_
_atom_site_label
_atom_site_type_symbol
_atom_site_fract_x
_atom_site_fract_y
_atom_site_fract_z
Rb1 Rb 0.142 0.250 0.100
Ag1 Ag 0.397 0.250 0.737
Pb1 Pb 0.194 0.750 0.473
F1 F 0.100 0.008 0.699
F2 F 0.254 0.750 0.157
F3 F 0.418 0.250 0.424
```

In Å³ per cell, the calculated volume values for the records above are, in order, 168, 376, 935, 315, 559, 829, 323, 764, 326, 159, 293, 351, 346, 301, 205, 287, 451, 397, 290.